## YBI3 (GGA-PBE)

Data for a relaxed YBI3 crystal.

The space group is Pm-3m (No. 221) and the conventional cell measures 5.155, 5.155 and 5.155 Å, with angles of 90.00, 90.00 and 90.00 degrees. The asymmetric unit holds Y at (0.000, 0.000, 0.000), B at (0.500, 0.500, 0.500) and I at (0.000, 0.500, 0.500).

The uncorrected formation energy is 31.5 kJ/mol of atoms. For the energy above the most stable polymorph in this dataset, the calculation gives 0.111 eV per atom. The calculation puts the raw total energy at -3.232 eV/atom.